(1)
# K2YTa GGA-PBEsol optimized geometry
data_K2YTa
_chemical_formula_sum 'K2 Y1 Ta1'
_space_group_name_H-M_alt 'P 1'
_space_group_IT_number 1
_space_group_name_Hall 'P 1'
_cell_length_a 3.0467
_cell_length_b 6.1658
_cell_length_c 6.6265
_cell_angle_alpha 90.00
_cell_angle_beta 90.00
_cell_angle_gamma 90.00
loop_
_atom_site_label
_atom_site_type_symbol
_atom_site_fract_x
_atom_site_fract_y
_atom_site_fract_z
K1 K 0.0000 0.2390 0.0000
K2 K 0.0000 0.7610 0.0000
Y1 Y 0.5000 0.5000 0.5000
Ta1 Ta 0.5000 0.0000 0.5000
# - DFT formation energy: 1.27 eV/atom
# - Raw total energy: -16.58 eV/cell
# - Crystal system: orthorhombic

=====

(2)
# ZrCNF2 GGA-PBEsol optimized geometry
data_ZrCNF2
_chemical_formula_sum 'Zr1 C1 N1 F2'
_space_group_name_H-M_alt 'P 1'
_space_group_IT_number 1
_space_group_name_Hall 'P 1'
_cell_length_a 4.0649
_cell_length_b 4.0649
_cell_length_c 4.2360
_cell_angle_alpha 90.00
_cell_angle_beta 90.00
_cell_angle_gamma 90.00
loop_
_atom_site_label
_atom_site_type_symbol
_atom_site_fract_x
_atom_site_fract_y
_atom_site_fract_z
Zr1 Zr 0.0000 0.0000 0.0000
C1 C 0.5000 0.5000 0.5000
N1 N 0.0000 0.0000 0.5000
F1 F 0.0000 0.5000 0.0000
F2 F 0.5000 0.0000 0.0000
# - ΔE_f (raw): -0.38 eV/atom
# - Energy relative to the lowest polymorph listed for this composition: 172 meV per atom
# - Raw total energy: -33.03 eV/cell
# - Crystal system: tetragonal

=====

(3)
# CaSe GGA-PBEsol optimized geometry
data_CaSe
_chemical_formula_sum 'Ca2 Se2'
_space_group_name_H-M_alt 'P 1'
_space_group_IT_number 1
_space_group_name_Hall 'P 1'
_cell_length_a 5.1027
_cell_length_b 5.1027
_cell_length_c 5.1027
_cell_angle_alpha 60.00
_cell_angle_beta 60.00
_cell_angle_gamma 60.00
loop_
_atom_site_label
_atom_site_type_symbol
_atom_site_fract_x
_atom_site_fract_y
_atom_site_fract_z
Ca1 Ca 0.1250 0.1250 0.1250
Ca2 Ca 0.8750 0.8750 0.8750
Se1 Se 0.3750 0.3750 0.3750
Se2 Se 0.6250 0.6250 0.6250
# - ΔE_f (raw): -0.86 eV/atom
# - Raw total energy: -15.40 eV/cell
# - Crystal system: cubic

=====

(4)
# CsAg3Sb GGA-PBEsol optimized geometry
data_CsAg3Sb
_chemical_formula_sum 'Cs1 Ag3 Sb1'
_space_group_name_H-M_alt 'P 1'
_space_group_IT_number 1
_space_group_name_Hall 'P 1'
_cell_length_a 5.5349
_cell_length_b 5.5349
_cell_length_c 5.5349
_cell_angle_alpha 90.00
_cell_angle_beta 90.00
_cell_angle_gamma 90.00
loop_
_atom_site_label
_atom_site_type_symbol
_atom_site_fract_x
_atom_site_fract_y
_atom_site_fract_z
Cs1 Cs 0.0000 0.0000 0.0000
Ag1 Ag 0.0000 0.0000 0.5000
Ag2 Ag 0.0000 0.5000 0.0000
Ag3 Ag 0.5000 0.0000 0.0000
Sb1 Sb 0.5000 0.5000 0.5000
# - ΔE_f (raw): 1.50 eV/atom
# - Raw total energy: -7.94 eV/cell
# - Crystal system: cubic